1.
# ScNb2TcMo | Alexandria | PBEsol | optimized geometry
# ΔE_f	0.997	eV/atom
# raw total energy	-46.30	eV for the cell shown
data_ScNb2TcMo
_cell_length_a 4.762
_cell_length_b 4.762
_cell_length_c 4.686
_cell_angle_alpha 90.00
_cell_angle_beta 90.00
_cell_angle_gamma 90.00
_symmetry_space_group_name_H-M 'P 4/m m m'
_symmetry_Int_Tables_number 123
_symmetry_space_group_name_Hall '-P 4 2'
loop_
_atom_site_label
_atom_site_fract_x
_atom_site_fract_y
_atom_site_fract_z
_atom_site_occupancy
Sc1 0.000 0.000 0.000 1
Nb1 0.000 0.500 0.500 1
Tc1 0.500 0.500 0.500 1
Mo1 0.500 0.500 0.000 1

=====

2.
# Ca3MgGe | Alexandria | PBEsol | optimized geometry
# ΔE_f	-0.172	eV/atom
# raw total energy	-13.92	eV for the cell shown
data_Ca3MgGe
_cell_length_a 5.657
_cell_length_b 5.657
_cell_length_c 5.657
_cell_angle_alpha 90.00
_cell_angle_beta 90.00
_cell_angle_gamma 90.00
_symmetry_space_group_name_H-M 'P m -3 m'
_symmetry_Int_Tables_number 221
_symmetry_space_group_name_Hall '-P 4 2 3'
loop_
_atom_site_label
_atom_site_fract_x
_atom_site_fract_y
_atom_site_fract_z
_atom_site_occupancy
Ca1 0.000 0.000 0.500 1
Mg1 0.500 0.500 0.500 1
Ge1 0.000 0.000 0.000 1

=====

3.
# SrGaBi2Mo | Alexandria | PBEsol | optimized geometry
# ΔE_f	1.040	eV/atom
# raw total energy	-20.32	eV for the cell shown
data_SrGaBi2Mo
_cell_length_a 5.423
_cell_length_b 5.423
_cell_length_c 5.514
_cell_angle_alpha 90.00
_cell_angle_beta 90.00
_cell_angle_gamma 90.00
_symmetry_space_group_name_H-M 'P 4/m m m'
_symmetry_Int_Tables_number 123
_symmetry_space_group_name_Hall '-P 4 2'
loop_
_atom_site_label
_atom_site_fract_x
_atom_site_fract_y
_atom_site_fract_z
_atom_site_occupancy
Sr1 0.000 0.000 0.000 1
Ga1 0.000 0.000 0.500 1
Bi1 0.000 0.500 0.500 1
Mo1 0.500 0.500 0.000 1

=====

4.
# ReMo2N2 | Alexandria | PBEsol | optimized geometry
# raw total energy	-105.74	eV for the cell shown
data_ReMo2N2
_cell_length_a 3.178
_cell_length_b 3.178
_cell_length_c 11.692
_cell_angle_alpha 90.00
_cell_angle_beta 90.00
_cell_angle_gamma 90.00
_symmetry_space_group_name_H-M 'I 4/m m m'
_symmetry_Int_Tables_number 139
_symmetry_space_group_name_Hall '-I 4 2'
loop_
_atom_site_label
_atom_site_fract_x
_atom_site_fract_y
_atom_site_fract_z
_atom_site_occupancy
Re1 0.000 0.000 0.000 1
Mo1 0.000 0.000 0.358 1
N1 0.000 0.500 0.250 1

=====

5.
# TcOs2 | Alexandria | PBEsol | optimized geometry
# polymorph energy (0 for the lowest one)	6	meV/atom
# ΔE_f	-0.073	eV/atom
# raw total energy	-143.67	eV for the cell shown
data_TcOs2
_cell_length_a 9.840
_cell_length_b 2.728
_cell_length_c 6.404
_cell_angle_alpha 90.00
_cell_angle_beta 103.63
_cell_angle_gamma 90.00
_symmetry_space_group_name_H-M 'C 1 2/m 1'
_symmetry_Int_Tables_number 12
loop_
_symmetry_equiv_pos_as_xyz
'x,y,z'
'-x,-y,-z'
'-x,y,-z'
'x,-y,z'
'x+1/2,y+1/2,z'
'-x+1/2,-y+1/2,-z'
'-x+1/2,y+1/2,-z'
'x+1/2,-y+1/2,z'
loop_
_atom_site_label
_atom_site_fract_x
_atom_site_fract_y
_atom_site_fract_z
_atom_site_occupancy
Tc1 0.193 0.000 0.138 1
Os1 0.028 0.500 0.806 1
Os2 0.139 0.000 0.528 1

=====

6.
# UAs2 | Alexandria | PBEsol | optimized geometry
# ΔE_f	-0.619	eV/atom
# raw total energy	-48.46	eV for the cell shown
data_UAs2
_cell_length_a 3.907
_cell_length_b 3.907
_cell_length_c 7.912
_cell_angle_alpha 90.00
_cell_angle_beta 90.00
_cell_angle_gamma 90.00
_symmetry_space_group_name_H-M 'P 4/n m m'
_symmetry_Int_Tables_number 129
loop_
_symmetry_equiv_pos_as_xyz
'x,y,z'
'-x,-y,-z'
'-y+1/2,x,z'
'y+1/2,-x,-z'
'-x+1/2,-y+1/2,z'
'x+1/2,y+1/2,-z'
'y,-x+1/2,z'
'-y,x+1/2,-z'
'x+1/2,-y,-z'
'-x+1/2,y,z'
'-y,-x,-z'
'y,x,z'
'-x,y+1/2,-z'
'x,-y+1/2,z'
'y+1/2,x+1/2,-z'
'-y+1/2,-x+1/2,z'
loop_
_atom_site_label
_atom_site_fract_x
_atom_site_fract_y
_atom_site_fract_z
_atom_site_occupancy
U1 0.250 0.250 0.216 1
As1 0.250 0.250 0.856 1
As2 0.250 0.750 0.500 1

=====

- Which of these has the lowest raw total energy?
  TcOs2

=====

- Which value of raw total energy does entry 2 give?
  -13.92 eV for the cell shown

=====

What did the first record say?
# ScNb2TcMo | Alexandria | PBEsol | optimized geometry
# ΔE_f	0.997	eV/atom
# raw total energy	-46.30	eV for the cell shown
data_ScNb2TcMo
_cell_length_a 4.762
_cell_length_b 4.762
_cell_length_c 4.686
_cell_angle_alpha 90.00
_cell_angle_beta 90.00
_cell_angle_gamma 90.00
_symmetry_space_group_name_H-M 'P 4/m m m'
_symmetry_Int_Tables_number 123
_symmetry_space_group_name_Hall '-P 4 2'
loop_
_atom_site_label
_atom_site_fract_x
_atom_site_fract_y
_atom_site_fract_z
_atom_site_occupancy
Sc1 0.000 0.000 0.000 1
Nb1 0.000 0.500 0.500 1
Tc1 0.500 0.500 0.500 1
Mo1 0.500 0.500 0.000 1